# Ba2ScTe6Au2, optimized geometry, DFT PBE
data_Ba2ScTe6Au2
_chemical_formula_sum 'Ba4 Sc2 Te12 Au4'
_symmetry_space_group_name_H-M 'C 1 2/m 1'
_symmetry_Int_Tables_number 12
_symmetry_space_group_name_Hall '-C 2y'
_cell_length_a 15.128
_cell_length_b 6.638
_cell_length_c 9.088
_cell_angle_alpha 90.00
_cell_angle_beta 122.43
_cell_angle_gamma 90.00
loop_
_atom_site_label
_atom_site_type_symbol
_atom_site_fract_x
_atom_site_fract_y
_atom_site_fract_z
_atom_site_occupancy
Ba1 Ba 0.230 0.000 0.227 1
Sc1 Sc 0.000 0.000 0.500 1
Te1 Te 0.070 0.249 0.813 1
Te2 Te 0.216 0.000 0.598 1
Au1 Au 0.078 0.500 0.196 1
# Calculated density: 6.4 g/cm³
# V: 35.0 A^3/atom
# Raw total energy: -4.09 eV/atom



# UO2F2, optimized geometry, DFT PBE
data_UO2F2
_chemical_formula_sum 'U2 O4 F4'
_symmetry_space_group_name_H-M 'C 1 2/m 1'
_symmetry_Int_Tables_number 12
_symmetry_space_group_name_Hall '-C 2y'
_cell_length_a 10.195
_cell_length_b 3.388
_cell_length_c 5.029
_cell_angle_alpha 90.00
_cell_angle_beta 105.94
_cell_angle_gamma 90.00
loop_
_atom_site_label
_atom_site_type_symbol
_atom_site_fract_x
_atom_site_fract_y
_atom_site_fract_z
_atom_site_occupancy
U1 U 0.000 0.000 0.000 1
O1 O 0.104 0.500 0.924 1
F1 F 0.119 0.000 0.400 1
# Distance to the lowest polymorph of the same formula: 96.3 meV per atom
# Calculated density: 6.1 g/cm³
# V: 16.7 A^3/atom



# TaCdI3, optimized geometry, DFT PBE
data_TaCdI3
_chemical_formula_sum 'Ta1 Cd1 I3'
_symmetry_space_group_name_H-M 'P m -3 m'
_symmetry_Int_Tables_number 221
_symmetry_space_group_name_Hall '-P 4 2 3'
_cell_length_a 5.798
_cell_length_b 5.798
_cell_length_c 5.798
_cell_angle_alpha 90.00
_cell_angle_beta 90.00
_cell_angle_gamma 90.00
loop_
_atom_site_label
_atom_site_type_symbol
_atom_site_fract_x
_atom_site_fract_y
_atom_site_fract_z
_atom_site_occupancy
Ta1 Ta 0.000 0.000 0.000 1
Cd1 Cd 0.500 0.500 0.500 1
I1 I 0.000 0.500 0.500 1
# Distance to the lowest polymorph of the same formula: 821.1 meV per atom
# Calculated density: 5.7 g/cm³
# V: 39.0 A^3/atom



# Li3Pa3MnSe8, optimized geometry, DFT PBE
data_Li3Pa3MnSe8
_chemical_formula_sum 'Li9 Pa9 Mn3 Se24'
_symmetry_space_group_name_H-M 'R -3 m'
_symmetry_Int_Tables_number 166
_symmetry_space_group_name_Hall '-R 3 2"'
_cell_length_a 7.9995
_cell_length_b 7.9995
_cell_length_c 19.7465
_cell_angle_alpha 90.00
_cell_angle_beta 90.00
_cell_angle_gamma 120.00
loop_
_atom_site_label
_atom_site_type_symbol
_atom_site_fract_x
_atom_site_fract_y
_atom_site_fract_z
_atom_site_occupancy
Li1 Li 0.0000 0.5000 0.0000 1
Pa1 Pa 0.0000 0.5000 0.5000 1
Mn1 Mn 0.0000 0.0000 0.5000 1
Se1 Se 0.0000 0.0000 0.2554 1
Se2 Se 0.0138 0.5069 0.2487 1
# Calculated density: 6.4 g/cm³
# V: 24.3 A^3/atom
# Raw total energy: -5.92 eV/atom



# Ba2Ru3RhO12, optimized geometry, DFT PBE
data_Ba2Ru3RhO12
_chemical_formula_sum 'Ba6 Ru9 Rh3 O36'
_symmetry_space_group_name_H-M 'R -3 m'
_symmetry_Int_Tables_number 166
_symmetry_space_group_name_Hall '-R 3 2"'
_cell_length_a 7.2127
_cell_length_b 7.2127
_cell_length_c 17.1688
_cell_angle_alpha 90.00
_cell_angle_beta 90.00
_cell_angle_gamma 120.00
loop_
_atom_site_label
_atom_site_type_symbol
_atom_site_fract_x
_atom_site_fract_y
_atom_site_fract_z
_atom_site_occupancy
Ba1 Ba 0.0000 0.0000 0.1321 1
Ru1 Ru 0.0000 0.5000 0.0000 1
Rh1 Rh 0.0000 0.0000 0.5000 1
O1 O 0.0520 0.5260 0.1107 1
O2 O 0.0734 0.5367 0.3517 1
# Calculated density: 5.6 g/cm³
# V: 14.3 A^3/atom
# Raw total energy: -6.75 eV/atom



# Zn2HgPb, optimized geometry, DFT PBE
data_Zn2HgPb
_chemical_formula_sum 'Zn8 Hg4 Pb4'
_symmetry_space_group_name_H-M 'F m -3 m'
_symmetry_Int_Tables_number 225
_symmetry_space_group_name_Hall '-F 4 2 3'
_cell_length_a 7.113
_cell_length_b 7.113
_cell_length_c 7.113
_cell_angle_alpha 90.00
_cell_angle_beta 90.00
_cell_angle_gamma 90.00
loop_
_atom_site_label
_atom_site_type_symbol
_atom_site_fract_x
_atom_site_fract_y
_atom_site_fract_z
_atom_site_occupancy
Zn1 Zn 0.250 0.250 0.250 1
Hg1 Hg 0.000 0.000 0.000 1
Pb1 Pb 0.000 0.000 0.500 1
# Formation energy: 19 kJ/mol of atoms
# Distance to the lowest polymorph of the same formula: 91.0 meV per atom
# Calculated density: 9.9 g/cm³
# V: 22.5 A^3/atom